(1)
## LiAl12Ag6 (PBE-GGA)

Data for crystalline LiAl12Ag6 at its relaxed geometry.

Summary:
As for the space group: R-3. The calculation puts the final energy at -3.264 eV per atom.

Lattice parameters (Å, degrees): 7.1975 7.1975 7.1975 98.83 98.83 98.83
Last column: nearest neighbours and their distance in Å.
Element x y z (fractional)
Li 0.0000 0.0000 0.0000  6 Al 2.64
Al 0.8186 0.4940 0.3689  4 Ag 2.62-2.79, 4 Al 2.74-2.83
Al 0.3689 0.8186 0.4940  4 Ag 2.62-2.79, 4 Al 2.74-2.83
Al 0.4940 0.3689 0.8186  4 Ag 2.62-2.79, 4 Al 2.74-2.83
Al 0.1814 0.5060 0.6311  4 Ag 2.62-2.79, 4 Al 2.74-2.83
Al 0.6311 0.1814 0.5060  4 Ag 2.62-2.79, 4 Al 2.74-2.83
Al 0.5060 0.6311 0.1814  4 Ag 2.62-2.79, 4 Al 2.74-2.83
Al 0.0142 0.8413 0.3071  1 Li 2.64, 2 Ag 2.68-2.70, 4 Al 2.74-2.81
Al 0.1587 0.6929 0.9858  1 Li 2.64, 2 Ag 2.68-2.70, 4 Al 2.74-2.81
Al 0.6929 0.9858 0.1587  1 Li 2.64, 2 Ag 2.68-2.70, 4 Al 2.74-2.81
Al 0.9858 0.1587 0.6929  1 Li 2.64, 2 Ag 2.68-2.70, 4 Al 2.74-2.81
Al 0.8413 0.3071 0.0142  1 Li 2.64, 2 Ag 2.68-2.70, 4 Al 2.74-2.81
Al 0.3071 0.0142 0.8413  1 Li 2.64, 2 Ag 2.68-2.70, 4 Al 2.74-2.81
Ag 0.7388 0.8357 0.5198  6 Al 2.62-2.79
Ag 0.4802 0.2612 0.1643  6 Al 2.62-2.79
Ag 0.1643 0.4802 0.2612  6 Al 2.62-2.79
Ag 0.2612 0.1643 0.4802  6 Al 2.62-2.79
Ag 0.5198 0.7388 0.8357  6 Al 2.62-2.79
Ag 0.8357 0.5198 0.7388  6 Al 2.62-2.79

---

(2)
## Li7Al3Ag2 (PBE-GGA)

Data for crystalline Li7Al3Ag2 at its relaxed geometry.

Summary:
As for the space group: P2/m. The calculation puts the final energy at -2.628 eV per atom.

Lattice parameters (Å, degrees): 2.8088 4.6315 15.2929 91.65 90.00 90.00
Last column: nearest neighbours and their distance in Å.
Element x y z (fractional)
Li 0.5000 0.7478 0.4652  4 Li 2.54-2.81, 1 Ag 2.59
Li 0.5000 0.2522 0.5348  4 Li 2.54-2.81, 1 Ag 2.59
Li 0.0000 0.6934 0.1426  7 Li 2.64-2.85, 2 Al 2.72, 2 Ag 2.73
Li 0.0000 0.0000 0.0000  4 Li 2.64-2.81, 4 Al 2.71
Li 0.0000 0.3066 0.8574  7 Li 2.64-2.85, 2 Al 2.72, 2 Ag 2.73
Li 0.5000 0.7938 0.8062  2 Ag 2.79-2.80, 6 Li 2.79-2.85, 2 Al 2.97
Li 0.5000 0.2062 0.1938  2 Ag 2.79-2.80, 6 Li 2.79-2.85, 2 Al 2.97
Al 0.5000 0.5000 0.0000  8 Li 2.71-2.72, 2 Al 2.81
Al 0.0000 0.2276 0.3649  2 Al 2.81, 4 Ag 2.89-2.92, 6 Li 2.95-3.08
Al 0.0000 0.7724 0.6351  2 Al 2.81, 4 Ag 2.89-2.92, 6 Li 2.95-3.08
Ag 0.5000 0.7175 0.2960  5 Li 2.59-2.80, 2 Ag 2.81, 2 Al 2.89
Ag 0.5000 0.2825 0.7040  5 Li 2.59-2.80, 2 Ag 2.81, 2 Al 2.89

---

(3)
## Li6AlAg8 (PBE-GGA)

Data for crystalline Li6AlAg8 at its relaxed geometry.

Summary:
As for the space group: R-3. The calculation puts the final energy at -2.670 eV per atom.

Lattice parameters (Å, degrees): 7.3050 7.3050 6.9817 58.46 58.46 60.00
Last column: nearest neighbours and their distance in Å.
Element x y z (fractional)
Li 0.4679 0.9564 0.8588  1 Li 2.66, 5 Ag 2.71-2.89, 1 Al 2.91
Li 0.0436 0.2831 0.1412  1 Li 2.66, 5 Ag 2.71-2.89, 1 Al 2.91
Li 0.2831 0.5321 0.1412  1 Li 2.66, 5 Ag 2.71-2.89, 1 Al 2.91
Li 0.7170 0.4679 0.8588  1 Li 2.66, 5 Ag 2.71-2.89, 1 Al 2.91
Li 0.9564 0.7170 0.8588  1 Li 2.66, 5 Ag 2.71-2.89, 1 Al 2.91
Li 0.5321 0.0436 0.1412  1 Li 2.66, 5 Ag 2.71-2.89, 1 Al 2.91
Al 0.0000 0.0000 0.0000  6 Ag 2.70, 6 Li 2.91
Ag 0.6653 0.1283 0.3757  1 Al 2.70, 3 Li 2.71-2.84, 6 Ag 2.79-3.02
Ag 0.8717 0.1693 0.6243  1 Al 2.70, 3 Li 2.71-2.84, 6 Ag 2.79-3.02
Ag 0.1693 0.3347 0.6243  1 Al 2.70, 3 Li 2.71-2.84, 6 Ag 2.79-3.02
Ag 0.5862 0.5862 0.2413  6 Li 2.78-2.89, 4 Ag 2.79-2.88
Ag 0.4138 0.4138 0.7587  6 Li 2.78-2.89, 4 Ag 2.79-2.88
Ag 0.8307 0.6653 0.3757  1 Al 2.70, 3 Li 2.71-2.84, 6 Ag 2.79-3.02
Ag 0.1283 0.8307 0.3757  1 Al 2.70, 3 Li 2.71-2.84, 6 Ag 2.79-3.02
Ag 0.3347 0.8717 0.6243  1 Al 2.70, 3 Li 2.71-2.84, 6 Ag 2.79-3.02

---

(4)
## Li6AlAg (PBE-GGA)

Data for crystalline Li6AlAg at its relaxed geometry.

Summary:
As for the space group: Amm2. The calculation puts the final energy at -2.372 eV per atom.

Lattice parameters (Å, degrees): 4.7684 5.7742 5.7742 122.00 90.00 90.00
Last column: nearest neighbours and their distance in Å.
Element x y z (fractional)
Li 0.5000 0.1704 0.3268  8 Li 2.78-2.95, 2 Ag 2.86-2.91, 2 Al 2.87-2.90
Li 0.5000 0.6732 0.8296  8 Li 2.78-2.95, 2 Ag 2.86-2.91, 2 Al 2.87-2.90
Li 0.0000 0.3379 0.1676  8 Li 2.77-2.99, 2 Al 2.89, 2 Ag 2.90
Li 0.0000 0.8324 0.6621  8 Li 2.77-2.99, 2 Al 2.89, 2 Ag 2.90
Li 0.0000 0.3224 0.6776  10 Li 2.78-2.99, 2 Ag 2.84
Li 0.0000 0.8246 0.1754  10 Li 2.79-2.99, 2 Al 2.85
Al 0.5000 0.6698 0.3302  2 Ag 2.80, 10 Li 2.85-2.90
Ag 0.5000 0.1694 0.8306  2 Al 2.80, 10 Li 2.84-2.91

---

(5)
## LiAl5Ag4 (PBE-GGA)

Data for crystalline LiAl5Ag4 at its relaxed geometry.

Summary:
As for the space group: C2/m. The calculation puts the final energy at -3.216 eV per atom.

Lattice parameters (Å, degrees): 3.0483 8.3747 6.9679 89.47 102.64 90.00
Last column: nearest neighbours and their distance in Å.
Element x y z (fractional)
Li 0.5000 0.0000 0.0000  4 Ag 2.58, 4 Al 2.79
Al 0.1702 0.9621 0.3403  4 Ag 2.64-2.86, 2 Al 2.73, 2 Li 2.79
Al 0.1732 0.5500 0.3464  4 Ag 2.64-2.94, 4 Al 2.71-2.84
Al 0.8268 0.4500 0.6536  4 Ag 2.64-2.94, 4 Al 2.71-2.84
Al 0.5000 0.5000 0.0000  4 Ag 2.65, 4 Al 2.84
Al 0.8298 0.0379 0.6597  4 Ag 2.64-2.86, 2 Al 2.73, 2 Li 2.79
Ag 0.6644 0.2510 0.3287  7 Al 2.78-3.04, 4 Ag 2.99-3.05, 1 Li 3.08
Ag 0.0250 0.7551 0.0500  2 Li 2.58, 4 Al 2.64-2.65
Ag 0.3356 0.7490 0.6713  7 Al 2.78-3.04, 4 Ag 2.99-3.05, 1 Li 3.08
Ag 0.9750 0.2449 0.9500  2 Li 2.58, 4 Al 2.64-2.65

---

(6)
## Li3Al4Ag4 (PBE-GGA)

Data for crystalline Li3Al4Ag4 at its relaxed geometry.

Summary:
As for the space group: C2/m. The calculation puts the final energy at -3.002 eV per atom.

Lattice parameters (Å, degrees): 4.2247 7.5529 7.7768 119.09 103.94 90.00
Last column: nearest neighbours and their distance in Å.
Element x y z (fractional)
Li 0.1090 0.1150 0.2298  6 Ag 2.80-2.98, 2 Al 3.00, 1 Li 3.00
Li 0.8910 0.8850 0.7702  6 Ag 2.80-2.98, 2 Al 3.00, 1 Li 3.00
Li 0.0000 0.5000 0.0000  6 Ag 3.15-3.17, 4 Al 3.36
Al 0.3015 0.1368 0.6380  4 Ag 2.57-2.65, 1 Al 2.75
Al 0.6985 0.4987 0.3620  4 Ag 2.57-2.65, 1 Al 2.75
Al 0.6985 0.8632 0.3620  4 Ag 2.57-2.65, 1 Al 2.75
Al 0.3015 0.5013 0.6380  4 Ag 2.57-2.65, 1 Al 2.75
Ag 0.2532 0.7411 0.4823  6 Al 2.61-2.65, 2 Li 2.80-2.86
Ag 0.7468 0.2589 0.5177  6 Al 2.61-2.65, 2 Li 2.80-2.86
Ag 0.5001 0.8126 0.0001  2 Al 2.57, 1 Ag 2.83
Ag 0.4999 0.1874 0.9999  2 Al 2.57, 1 Ag 2.83

---

(7)
## Li5AlAg3 (PBE-GGA)

Data for crystalline Li5AlAg3 at its relaxed geometry.

Summary:
As for the space group: C2/m. The calculation puts the final energy at -2.461 eV per atom.

Lattice parameters (Å, degrees): 6.1092 6.1092 10.5872 81.59 81.59 105.20
Last column: nearest neighbours and their distance in Å.
Element x y z (fractional)
Li 0.8952 0.3854 0.3407  1 Ag 2.61, 1 Li 2.82, 1 Al 2.89
Li 0.2638 0.7362 0.0000  3 Ag 2.56-2.72
Li 0.6667 0.6667 0.1544  4 Ag 2.62-2.75, 1 Li 2.71, 1 Al 2.81
Li 0.3437 0.3437 0.3410  4 Ag 2.59-2.70, 3 Li 2.71-2.82
Li 0.6563 0.6563 0.6590  4 Ag 2.59-2.70, 3 Li 2.71-2.82
Li 0.3333 0.3333 0.8456  4 Ag 2.62-2.75, 1 Li 2.71, 1 Al 2.81
Li 0.3854 0.8952 0.3407  1 Ag 2.61, 1 Li 2.82, 1 Al 2.89
Li 0.7362 0.2638 0.0000  3 Ag 2.56-2.72
Li 0.1048 0.6146 0.6593  1 Ag 2.61, 1 Li 2.82, 1 Al 2.89
Li 0.6146 0.1048 0.6593  1 Ag 2.61, 1 Li 2.82, 1 Al 2.89
Al 0.0098 0.0098 0.7511  4 Ag 2.58-2.68, 1 Li 2.81
Al 0.9902 0.9902 0.2489  4 Ag 2.58-2.68, 1 Li 2.81
Ag 0.6756 0.6756 0.9025  1 Al 2.61, 5 Li 2.62-2.75, 2 Ag 2.84-2.91
Ag 0.6699 0.6699 0.4118  1 Al 2.58, 5 Li 2.59-2.73, 2 Ag 2.75-2.82
Ag 0.0000 0.0000 0.0000  4 Li 2.56-2.62, 2 Al 2.62, 2 Ag 2.84
Ag 0.0000 0.0000 0.5000  2 Al 2.68, 6 Li 2.70-2.96, 2 Ag 2.82
Ag 0.3244 0.3244 0.0975  1 Al 2.61, 5 Li 2.62-2.75, 2 Ag 2.84-2.91
Ag 0.3301 0.3301 0.5882  1 Al 2.58, 5 Li 2.59-2.73, 2 Ag 2.75-2.82

---

(8)
## LiAl6Ag2 (PBE-GGA)

Data for crystalline LiAl6Ag2 at its relaxed geometry.

Summary:
As for the space group: R3m. The calculation puts the final energy at -3.205 eV per atom.

Lattice parameters (Å, degrees): 5.3307 5.3307 7.8056 70.03 70.03 60.00
Last column: nearest neighbours and their distance in Å.
Element x y z (fractional)
Li 0.3340 0.3340 0.9980  6 Al 2.84-2.86
Al 0.7808 0.2766 0.6661  6 Al 2.64-2.84, 2 Ag 2.84, 1 Li 2.84
Al 0.2766 0.7808 0.6661  6 Al 2.64-2.84, 2 Ag 2.84, 1 Li 2.84
Al 0.2766 0.2766 0.6661  6 Al 2.64-2.84, 2 Ag 2.84, 1 Li 2.84
Al 0.0552 0.5568 0.3329  6 Al 2.66-2.84, 2 Ag 2.82, 1 Li 2.86
Al 0.0551 0.0552 0.3329  6 Al 2.66-2.84, 2 Ag 2.82, 1 Li 2.86
Al 0.5568 0.0551 0.3329  6 Al 2.66-2.84, 2 Ag 2.82, 1 Li 2.86
Ag 0.7329 0.7329 0.8014  6 Al 2.84, 1 Ag 2.91
Ag 0.5978 0.5978 0.2065  6 Al 2.82, 1 Ag 2.91

---

(9)
## Li4AlAg7 (PBE-GGA)

Data for crystalline Li4AlAg7 at its relaxed geometry.

Summary:
As for the space group: C2/m. The calculation puts the final energy at -2.648 eV per atom.

Lattice parameters (Å, degrees): 4.9187 9.3533 5.5917 82.06 63.91 74.76
Last column: nearest neighbours and their distance in Å.
Element x y z (fractional)
Li 0.6124 0.2218 0.5535  8 Ag 2.74-3.03, 1 Li 3.03
Li 0.3876 0.7782 0.4465  8 Ag 2.74-3.03, 1 Li 3.03
Li 0.7203 0.6926 0.8668  6 Ag 2.67-2.90
Li 0.2797 0.3074 0.1332  6 Ag 2.67-2.90
Al 0.0000 0.0000 0.0000  4 Ag 2.46-2.52
Ag 0.8015 0.9149 0.4822  1 Al 2.52, 2 Ag 2.73-2.80, 4 Li 2.75-2.80
Ag 0.1985 0.0851 0.5178  1 Al 2.52, 2 Ag 2.73-2.80, 4 Li 2.75-2.80
Ag 0.0351 0.6230 0.3068  5 Ag 2.80-2.91, 4 Li 2.90-3.00
Ag 0.9649 0.3770 0.6932  5 Ag 2.80-2.91, 4 Li 2.90-3.00
Ag 0.3473 0.5310 0.7744  4 Li 2.67-2.90, 4 Ag 2.82-2.86
Ag 0.5000 0.0000 0.0000  2 Al 2.46, 2 Ag 2.73
Ag 0.6527 0.4690 0.2256  4 Li 2.67-2.90, 4 Ag 2.82-2.86

---

(10)
## Li3AlAg7 (PBE-GGA)

Data for crystalline Li3AlAg7 at its relaxed geometry.

Summary:
As for the space group: C2/m. The calculation puts the final energy at -2.680 eV per atom.

Lattice parameters (Å, degrees): 5.1871 7.1489 7.1489 84.37 119.31 119.31
Last column: nearest neighbours and their distance in Å.
Element x y z (fractional)
Li 0.0000 0.7691 0.2309  7 Ag 2.58-2.68
Li 0.5000 0.0000 0.0000  6 Ag 2.72-2.73
Li 0.0000 0.2309 0.7691  7 Ag 2.58-2.68
Al 0.5000 0.5000 0.5000  8 Ag 2.59-2.84
Ag 0.3016 0.1820 0.1820  3 Li 2.66-2.72, 1 Al 2.80, 4 Ag 2.85-2.95
Ag 0.3443 0.0720 0.5857  3 Li 2.59-2.73, 3 Ag 2.77-2.85, 1 Al 2.84
Ag 0.6557 0.4143 0.9280  3 Li 2.59-2.73, 3 Ag 2.77-2.85, 1 Al 2.84
Ag 0.3443 0.5857 0.0720  3 Li 2.59-2.73, 3 Ag 2.77-2.85, 1 Al 2.84
Ag 0.0000 0.5000 0.5000  2 Li 2.58, 2 Al 2.59, 2 Ag 2.89
Ag 0.6557 0.9280 0.4143  3 Li 2.59-2.73, 3 Ag 2.77-2.85, 1 Al 2.84
Ag 0.6984 0.8180 0.8180  3 Li 2.66-2.72, 1 Al 2.80, 4 Ag 2.85-2.95

---

(11)
## Li3Al2Ag4 (PBE-GGA)

Data for crystalline Li3Al2Ag4 at its relaxed geometry.

Summary:
As for the space group: C2/m. The calculation puts the final energy at -2.971 eV per atom.

Lattice parameters (Å, degrees): 4.4385 4.4626 8.3766 89.68 90.00 119.82
Last column: nearest neighbours and their distance in Å.
Element x y z (fractional)
Li 0.3335 0.6669 0.5613  4 Ag 2.73-2.77, 3 Li 2.77, 1 Al 2.86
Li 0.0000 0.0000 0.0000  8 Ag 2.72-2.76
Li 0.6665 0.3331 0.4387  4 Ag 2.73-2.77, 3 Li 2.77, 1 Al 2.86
Al 0.3328 0.6657 0.2197  7 Ag 2.73-2.74, 1 Li 2.86
Al 0.6672 0.3343 0.7803  7 Ag 2.73-2.74, 1 Li 2.86
Ag 0.6662 0.3324 0.1076  4 Li 2.72-2.77, 4 Al 2.74
Ag 0.0004 0.0007 0.6709  3 Al 2.73, 4 Li 2.73-2.76, 1 Ag 2.86
Ag 0.9996 0.9993 0.3291  3 Al 2.73, 4 Li 2.73-2.76, 1 Ag 2.86
Ag 0.3338 0.6676 0.8924  4 Li 2.72-2.77, 4 Al 2.74

---

(12)
## Li4AlAg2 (PBE-GGA)

Data for crystalline Li4AlAg2 at its relaxed geometry.

Summary:
As for the space group: I4/mmm. The calculation puts the final energy at -2.578 eV per atom.

Lattice parameters (Å, degrees): 5.6096 5.6096 5.5988 120.11 120.11 89.92
Last column: nearest neighbours and their distance in Å.
Element x y z (fractional)
Li 0.7861 0.7861 0.0719  4 Ag 2.80, 2 Al 2.80, 4 Li 2.80-2.81
Li 0.2855 0.2855 0.0711  4 Ag 2.80, 2 Al 2.80, 4 Li 2.80
Li 0.7857 0.2857 0.0714  2 Al 2.80, 4 Ag 2.80, 4 Li 2.80-2.81
Li 0.2857 0.7857 0.0714  2 Al 2.80, 4 Ag 2.80, 4 Li 2.80-2.81
Al 0.7857 0.7857 0.5715  8 Li 2.80, 4 Ag 2.80-2.81
Ag 0.2858 0.7855 0.5714  8 Li 2.80, 2 Al 2.80-2.81
Ag 0.7855 0.2858 0.5714  8 Li 2.80, 2 Al 2.80-2.81